<A>
An optimized crystal structure of Zn2SnSe, computed with PBE-GGA.

a b c (Å): 6.2954 6.2954 10.6510
angles (deg): 90.00 90.00 90.00
Element x y z (fractional)
Zn (0.2221, 0.2500, 0.1250)
Zn (0.2500, 0.7221, 0.3750)
Zn (0.2500, 0.7779, 0.8750)
Zn (0.2779, 0.2500, 0.6250)
Zn (0.7221, 0.7500, 0.6250)
Zn (0.7500, 0.2221, 0.8750)
Zn (0.7500, 0.2779, 0.3750)
Zn (0.7779, 0.7500, 0.1250)
Sn (0.0000, 0.0000, 0.5000)
Sn (0.0000, 0.5000, 0.7500)
Sn (0.5000, 0.0000, 0.2500)
Sn (0.5000, 0.5000, 0.0000)
Se (0.0000, 0.0000, 0.0000)
Se (0.0000, 0.5000, 0.2500)
Se (0.5000, 0.0000, 0.7500)
Se (0.5000, 0.5000, 0.5000)

<B>
An optimized crystal structure of Zn2SnSe, computed with PBE-GGA.

a b c (Å): 6.9344 6.9344 6.9344
angles (deg): 90.00 90.00 90.00
Element x y z (fractional)
Zn (0.2500, 0.2500, 0.2500)
Zn (0.2500, 0.2500, 0.7500)
Zn (0.2500, 0.7500, 0.2500)
Zn (0.2500, 0.7500, 0.7500)
Zn (0.7500, 0.2500, 0.2500)
Zn (0.7500, 0.2500, 0.7500)
Zn (0.7500, 0.7500, 0.2500)
Zn (0.7500, 0.7500, 0.7500)
Sn (0.0000, 0.0000, 0.0000)
Sn (0.0000, 0.5000, 0.5000)
Sn (0.5000, 0.0000, 0.5000)
Sn (0.5000, 0.5000, 0.0000)
Se (0.0000, 0.0000, 0.5000)
Se (0.0000, 0.5000, 0.0000)
Se (0.5000, 0.0000, 0.0000)
Se (0.5000, 0.5000, 0.5000)

What is the most stable structure shown above? It is <A>.